# 1
Computed, not measured: Mn3Os after structural relaxation at the PBE-GGA level of DFT. Values from VASP.

The calculation puts the total moment at 0.92 μB per formula unit. The space group is I4/mmm (139).

Geometry as Quantum ESPRESSO input:
```
&SYSTEM
  ibrav = 0, nat = 8, ntyp = 2
/
ATOMIC_SPECIES
Mn 54.94 Mn.upf
Os 190.23 Os.upf
CELL_PARAMETERS angstrom
-0.003 3.606 0.782
-3.452 -0.279 1.273
4.286 -3.099 5.597
ATOMIC_POSITIONS crystal
Mn 0.500 0.000 0.000
Mn 0.250 0.750 0.500
Mn 0.000 0.500 0.000
Os 0.627 0.627 0.253
Mn 0.122 0.122 0.244
Mn 0.750 0.250 0.500
Mn 0.878 0.878 0.756
Os 0.373 0.373 0.747
```


# 2
Computed, not measured: MnOs after structural relaxation at the PBE-GGA level of DFT. Values from VASP.

The calculation puts the total moment at 0.00 μB per formula unit. The space group is P6_3/m (176).

Geometry as Quantum ESPRESSO input:
```
&SYSTEM
  ibrav = 0, nat = 12, ntyp = 2
/
ATOMIC_SPECIES
Mn 54.94 Mn.upf
Os 190.23 Os.upf
CELL_PARAMETERS angstrom
6.940 0.000 0.000
-3.470 6.011 0.000
0.000 0.000 3.978
ATOMIC_POSITIONS crystal
Mn 0.815 0.781 0.750
Os 0.897 0.378 0.250
Os 0.103 0.622 0.750
Mn 0.219 0.034 0.750
Os 0.378 0.480 0.750
Mn 0.781 0.966 0.250
Os 0.520 0.897 0.750
Mn 0.034 0.815 0.250
Mn 0.966 0.185 0.750
Mn 0.185 0.219 0.250
Os 0.622 0.520 0.250
Os 0.480 0.103 0.250
```


# 3
Computed, not measured: MnOs after structural relaxation at the PBE-GGA level of DFT. Values from VASP.

The calculation puts the total moment at 0.00 μB per formula unit. The space group is P2_1/m (11).

Geometry as Quantum ESPRESSO input:
```
&SYSTEM
  ibrav = 0, nat = 4, ntyp = 2
/
ATOMIC_SPECIES
Os 190.23 Os.upf
Mn 54.94 Mn.upf
CELL_PARAMETERS angstrom
2.661 0.000 -0.001
0.000 3.984 0.000
1.327 0.000 4.766
ATOMIC_POSITIONS crystal
Os 0.451 0.000 0.473
Mn 0.181 0.000 0.011
Os 0.799 0.500 0.777
Mn 0.069 0.500 0.239
```


# 4
Computed, not measured: MnOs2 after structural relaxation at the PBE-GGA level of DFT. Values from VASP.

The calculation puts the total moment at 0.66 μB per formula unit. The space group is I4/mmm (139).

Geometry as Quantum ESPRESSO input:
```
&SYSTEM
  ibrav = 0, nat = 3, ntyp = 2
/
ATOMIC_SPECIES
Mn 54.94 Mn.upf
Os 190.23 Os.upf
CELL_PARAMETERS angstrom
-1.356 2.276 -0.424
-1.931 -3.527 -4.273
-2.197 -1.111 1.067
ATOMIC_POSITIONS crystal
Mn 0.000 0.000 0.000
Os 0.339 0.678 0.661
Os 0.661 0.322 0.339
```


# 5
Computed, not measured: MnOs2 after structural relaxation at the PBE-GGA level of DFT. Values from VASP.

The calculation puts the total moment at 0.00 μB per formula unit. The space group is Cmcm (63).

Geometry as Quantum ESPRESSO input:
```
&SYSTEM
  ibrav = 0, nat = 6, ntyp = 2
/
ATOMIC_SPECIES
Mn 54.94 Mn.upf
Os 190.23 Os.upf
CELL_PARAMETERS angstrom
-2.094 -1.609 0.574
-0.544 -3.693 -5.979
2.679 -2.927 1.565
ATOMIC_POSITIONS crystal
Mn 0.554 0.893 0.500
Os 0.659 0.682 0.000
Os 0.338 0.325 0.000
Os 0.218 0.564 0.500
Mn 0.002 0.996 0.000
Os 0.897 0.207 0.500
```


# 6
Computed, not measured: MnOs after structural relaxation at the PBE-GGA level of DFT. Values from VASP.

The calculation puts the total moment at 1.02 μB per formula unit. The space group is P4/mmm (123).

Geometry as Quantum ESPRESSO input:
```
&SYSTEM
  ibrav = 0, nat = 2, ntyp = 2
/
ATOMIC_SPECIES
Mn 54.94 Mn.upf
Os 190.23 Os.upf
CELL_PARAMETERS angstrom
2.652 0.000 0.000
0.000 2.652 0.000
0.000 0.000 3.658
ATOMIC_POSITIONS crystal
Mn 0.000 0.000 0.500
Os 0.500 0.500 0.000
```


# 7
Computed, not measured: MnOs2 after structural relaxation at the PBE-GGA level of DFT. Values from VASP.

The calculation puts the total moment at 0.00 μB per formula unit. The space group is I4/mcm (140).

Geometry as Quantum ESPRESSO input:
```
&SYSTEM
  ibrav = 0, nat = 6, ntyp = 2
/
ATOMIC_SPECIES
Os 190.23 Os.upf
Mn 54.94 Mn.upf
CELL_PARAMETERS angstrom
-3.004 3.004 2.227
3.004 -3.004 2.227
3.004 3.004 -2.227
ATOMIC_POSITIONS crystal
Os 0.353 0.147 0.500
Os 0.147 0.647 0.794
Os 0.647 0.853 0.500
Mn 0.750 0.750 0.000
Os 0.853 0.353 0.206
Mn 0.250 0.250 0.000
```


# 8
Computed, not measured: MnOs2 after structural relaxation at the PBE-GGA level of DFT. Values from VASP.

The calculation puts the total moment at 0.00 μB per formula unit. The space group is C2/m (12).

Geometry as Quantum ESPRESSO input:
```
&SYSTEM
  ibrav = 0, nat = 6, ntyp = 2
/
ATOMIC_SPECIES
Os 190.23 Os.upf
Mn 54.94 Mn.upf
CELL_PARAMETERS angstrom
-0.047 -2.696 0.122
4.128 1.163 -2.593
4.492 0.120 4.385
ATOMIC_POSITIONS crystal
Os 0.672 0.345 0.663
Mn 0.332 0.664 0.336
Mn 0.390 0.780 0.719
Os 0.050 0.100 0.393
Os 0.997 0.995 0.998
Os 0.725 0.450 0.058
```


Energy of formation from the pure elements / eV per atom: 0.001, 0.298, 0.008, 0.116, 0.015, 0.079, 0.142, -0.011
VASP energy / eV per cell: -77.47, -118.82, -40.77, -31.28, -63.17, -20.24, -62.41, -63.33